Computed, not measured: a relaxed ErZnInSe3 crystal at the GGA-PBE level of DFT.

SG: Pnma
VASP energy: -4.167 eV/atom
total magnetization: 0.00 μB/f.u.

a b c (Å): 10.0968 4.1252 15.5009
angles (deg): 90.00 90.00 90.00
Sites, in units of the cell vectors:
Er 0.8247 0.2500 0.0512
Er 0.3247 0.2500 0.4488
Er 0.6753 0.7500 0.5512
Er 0.1753 0.7500 0.9488
In 0.4720 0.7500 0.1861
In 0.9720 0.7500 0.3139
In 0.0280 0.2500 0.6861
In 0.5280 0.2500 0.8139
Se 0.3289 0.2500 0.0197
Se 0.0155 0.7500 0.1064
Se 0.6945 0.2500 0.2065
Se 0.1945 0.2500 0.2935
Se 0.5155 0.7500 0.3936
Se 0.8289 0.2500 0.4803
Se 0.1711 0.7500 0.5197
Se 0.4845 0.2500 0.6064
Se 0.8055 0.7500 0.7065
Se 0.3055 0.7500 0.7935
Se 0.9845 0.2500 0.8936
Se 0.6711 0.7500 0.9803
Zn 0.1753 0.2500 0.1397
Zn 0.6753 0.2500 0.3603
Zn 0.3247 0.7500 0.6397
Zn 0.8247 0.7500 0.8603